Material: CdCoGeO4
Method: DFT, PBE+U
State: optimized geometry

Cell lengths 6.1064, 6.1064, 8.5272 Å; angles 90.00, 90.00, 90.00 degrees
Space group P4_122 (No. 91)
Unique sites:
Cd 0.0000 0.2540 0.0000 x4
Co 0.2544 0.5000 0.7500 x4
Ge 0.2586 0.2586 0.3750 x4
O 0.0080 0.2685 0.2682 x8
O 0.2692 0.4877 0.5074 x8

Calculated values
E_tot in eV/atom: -5.6306